# Pa3BeS2O6

A relaxed structure of Pa3BeS2O6 (PBE, the Alexandria database).

abc: 6.155 7.646 6.792
angles: 124.26 77.57 90.00
Each line ends with the local moment (μB).
Sites, in units of the cell vectors:
Pa  0.000  0.500  0.000  0.23
Pa  0.500  0.500  0.500  0.46
Pa  0.500  0.000  0.500  0.46
Be  0.500  0.000  0.000  0.00
S  0.249  0.670  0.341  -0.01
S  0.751  0.330  0.659  -0.01
O  0.777  0.412  0.210  -0.01
O  0.223  0.588  0.790  -0.01
O  0.550  0.865  0.731  -0.01
O  0.450  0.135  0.269  -0.01
O  0.223  0.202  0.790  -0.01
O  0.777  0.798  0.210  -0.01

- E_form (uncorrected): -2782 meV per atom
- Mass density: 5.61 Mg/m³
- Spin magnetization: 0.09 μB/atom

# PaBe2SbO8

A relaxed structure of PaBe2SbO8 (PBE, the Alexandria database).

abc: 5.189 5.189 6.338
angles: 90.00 90.00 120.00
Each line ends with the local moment (μB).
Sites, in units of the cell vectors:
Pa  0.000  0.000  0.500  -0.07
Be  0.667  0.333  0.275  -0.01
Be  0.333  0.667  0.725  -0.01
Sb  0.000  0.000  0.000  -0.01
O  0.839  0.161  0.216  0.07
O  0.839  0.679  0.216  0.07
O  0.321  0.161  0.216  0.07
O  0.679  0.839  0.784  0.07
O  0.333  0.667  0.470  0.65
O  0.667  0.333  0.530  0.65
O  0.161  0.839  0.784  0.07
O  0.161  0.321  0.784  0.07

- E_form (uncorrected): -1893 meV per atom
- Mass density: 5.60 Mg/m³
- Spin magnetization: 0.16 μB/atom

# ScPaBeO6

A relaxed structure of ScPaBeO6 (PBE, the Alexandria database).

abc: 4.760 5.069 5.069
angles: 120.00 90.00 90.00
Each line ends with the local moment (μB).
Sites, in units of the cell vectors:
Sc  0.500  0.667  0.333  -0.01
Pa  0.000  0.333  0.667  -0.03
Be  0.500  0.000  0.000  -0.01
O  0.726  0.694  0.701  0.28
O  0.726  0.299  0.993  0.28
O  0.726  0.007  0.306  0.28
O  0.274  0.299  0.306  0.28
O  0.274  0.694  0.993  0.28
O  0.274  0.007  0.701  0.28

- E_form (uncorrected): -2563 meV per atom
- Mass density: 5.97 Mg/m³
- Spin magnetization: 0.22 μB/atom

# Pa3BeSe2O6

A relaxed structure of Pa3BeSe2O6 (PBE, the Alexandria database).

abc: 6.355 7.727 6.857
angles: 124.29 75.60 90.00
Each line ends with the local moment (μB).
Sites, in units of the cell vectors:
Pa  0.000  0.500  0.000  0.23
Pa  0.500  0.500  0.500  0.46
Pa  0.500  0.000  0.500  0.46
Be  0.500  0.000  0.000  0.00
Se  0.209  0.691  0.381  -0.01
Se  0.791  0.309  0.619  -0.01
O  0.765  0.410  0.198  -0.01
O  0.235  0.590  0.802  -0.01
O  0.544  0.865  0.730  -0.01
O  0.456  0.135  0.270  -0.01
O  0.235  0.213  0.802  -0.01
O  0.765  0.787  0.198  -0.01

- E_form (uncorrected): -2717 meV per atom
- Mass density: 5.98 Mg/m³
- Spin magnetization: 0.09 μB/atom

# PaBeSn2O8

A relaxed structure of PaBeSn2O8 (PBE, the Alexandria database).

abc: 4.944 4.944 6.309
angles: 94.93 85.07 87.94
Each line ends with the local moment (μB).
Sites, in units of the cell vectors:
Pa  0.000  0.000  0.500  0.07
Be  0.000  0.000  0.000  0.00
Sn  0.470  0.530  0.765  -0.01
Sn  0.530  0.470  0.235  -0.01
O  0.217  0.783  0.250  0.09
O  0.701  0.701  0.000  0.26
O  0.834  0.166  0.208  0.06
O  0.783  0.217  0.750  0.09
O  0.299  0.299  0.000  0.26
O  0.166  0.834  0.792  0.06
O  0.684  0.684  0.500  0.02
O  0.316  0.316  0.500  0.02

- E_form (uncorrected): -2040 meV per atom
- Mass density: 6.57 Mg/m³
- Spin magnetization: 0.09 μB/atom

# SrPaBe2O6

A relaxed structure of SrPaBe2O6 (PBE, the Alexandria database).

abc: 5.303 5.303 6.472
angles: 65.81 65.81 60.00
Each line ends with the local moment (μB).
Sites, in units of the cell vectors:
Sr  0.000  0.000  0.000  0.00
Pa  0.500  0.500  0.500  0.04
Be  0.760  0.760  0.720  0.00
Be  0.240  0.240  0.280  0.00
O  0.067  0.487  0.724  0.14
O  0.722  0.067  0.724  0.14
O  0.513  0.278  0.276  0.14
O  0.933  0.513  0.276  0.14
O  0.278  0.933  0.276  0.14
O  0.487  0.722  0.724  0.14

- E_form (uncorrected): -2807 meV per atom
- Mass density: 5.17 Mg/m³
- Spin magnetization: 0.11 μB/atom

# Sr3PaBe2O9

A relaxed structure of Sr3PaBe2O9 (PBE, the Alexandria database).

abc: 5.410 5.410 7.732
angles: 90.00 90.00 120.00
Sites, in units of the cell vectors:
Sr  0.333  0.667  0.697
Sr  0.000  0.000  0.000
Sr  0.667  0.333  0.303
Pa  0.000  0.000  0.500
Be  0.333  0.667  0.053
Be  0.667  0.333  0.947
O  0.831  0.169  0.667
O  0.831  0.662  0.667
O  0.338  0.169  0.667
O  0.662  0.831  0.333
O  0.169  0.338  0.333
O  0.169  0.831  0.333
O  0.500  0.000  0.000
O  0.000  0.500  0.000
O  0.500  0.500  0.000

- E_form (uncorrected): -2418 meV per atom
- Mass density: 5.56 Mg/m³
- Spin magnetization: 0.00 μB/atom

# SrPa2BeO8

A relaxed structure of SrPa2BeO8 (PBE, the Alexandria database).

abc: 4.846 4.846 7.405
angles: 90.00 90.00 120.00
Each line ends with the local moment (μB).
Sites, in units of the cell vectors:
Sr  0.000  0.000  0.500  0.00
Pa  0.667  0.333  0.149  -0.05
Pa  0.333  0.667  0.851  -0.05
Be  0.000  0.000  0.000  0.00
O  0.834  0.667  0.852  0.29
O  0.333  0.166  0.852  0.29
O  0.834  0.166  0.852  0.29
O  0.166  0.333  0.148  0.29
O  0.667  0.834  0.148  0.29
O  0.166  0.834  0.148  0.29
O  0.667  0.333  0.411  0.00
O  0.333  0.667  0.589  0.00

- E_form (uncorrected): -2670 meV per atom
- Mass density: 7.57 Mg/m³
- Spin magnetization: 0.16 μB/atom

# SrPa3Be4O12

A relaxed structure of SrPa3Be4O12 (PBE, the Alexandria database).

abc: 6.763 6.763 6.763
angles: 103.41 103.41 103.41
Each line ends with the local moment (μB).
Sites, in units of the cell vectors:
Sr  0.000  0.000  0.000  0.00
Pa  0.542  0.458  0.000  0.35
Pa  0.458  0.000  0.542  0.35
Pa  0.000  0.542  0.458  0.35
Be  0.952  0.048  0.500  0.00
Be  0.048  0.500  0.952  0.00
Be  0.500  0.952  0.048  0.00
Be  0.500  0.500  0.500  0.00
O  0.500  0.354  0.646  -0.01
O  0.900  0.500  0.100  -0.01
O  0.100  0.900  0.500  -0.01
O  0.500  0.100  0.900  -0.01
O  0.375  0.978  0.212  -0.01
O  0.212  0.375  0.978  -0.01
O  0.978  0.212  0.375  -0.01
O  0.625  0.788  0.022  -0.01
O  0.022  0.625  0.788  -0.01
O  0.788  0.022  0.625  -0.01
O  0.646  0.500  0.354  -0.01
O  0.354  0.646  0.500  -0.01

- E_form (uncorrected): -3096 meV per atom
- Mass density: 6.00 Mg/m³
- Spin magnetization: 0.05 μB/atom

# SrPaBeO5

A relaxed structure of SrPaBeO5 (PBE, the Alexandria database).

abc: 5.776 5.776 7.931
angles: 103.14 103.14 106.89
Each line ends with the local moment (μB).
Sites, in units of the cell vectors:
Sr  0.345  0.655  0.250  0.00
Sr  0.655  0.345  0.750  0.00
Pa  0.000  0.000  0.500  0.04
Pa  0.000  0.000  0.000  0.04
Be  0.688  0.312  0.250  0.00
Be  0.312  0.688  0.750  0.00
O  0.084  0.916  0.250  0.05
O  0.916  0.084  0.750  0.05
O  0.891  0.307  0.128  0.10
O  0.109  0.693  0.872  0.10
O  0.693  0.109  0.372  0.10
O  0.307  0.891  0.628  0.10
O  0.752  0.604  0.396  0.11
O  0.248  0.396  0.604  0.11
O  0.396  0.248  0.104  0.11
O  0.604  0.752  0.896  0.11

- E_form (uncorrected): -2844 meV per atom
- Mass density: 5.79 Mg/m³
- Spin magnetization: 0.07 μB/atom

# TbPa2BeO8

A relaxed structure of TbPa2BeO8 (PBE, the Alexandria database).

abc: 4.941 4.941 6.437
angles: 90.00 90.00 120.00
Sites, in units of the cell vectors:
Tb  0.000  0.000  0.500
Pa  0.667  0.333  0.144
Pa  0.333  0.667  0.856
Be  0.000  0.000  0.000
O  0.836  0.672  0.831
O  0.328  0.164  0.831
O  0.836  0.164  0.831
O  0.164  0.328  0.169
O  0.672  0.836  0.169
O  0.164  0.836  0.169
O  0.667  0.333  0.445
O  0.333  0.667  0.555

- E_form (uncorrected): -2798 meV per atom
- Mass density: 9.25 Mg/m³
- Spin magnetization: 0.00 μB/atom

# PaBe2TcO8

A relaxed structure of PaBe2TcO8 (PBE, the Alexandria database).

abc: 5.002 5.002 6.231
angles: 90.00 90.00 120.00
Sites, in units of the cell vectors:
Pa  0.000  0.000  0.500
Be  0.667  0.333  0.297
Be  0.333  0.667  0.703
Tc  0.000  0.000  0.000
O  0.836  0.164  0.197
O  0.836  0.671  0.197
O  0.329  0.164  0.197
O  0.671  0.836  0.803
O  0.333  0.667  0.454
O  0.667  0.333  0.546
O  0.164  0.836  0.803
O  0.164  0.329  0.803

- E_form (uncorrected): -1974 meV per atom
- Mass density: 5.84 Mg/m³
- Spin magnetization: 0.00 μB/atom